A plane-wave DFT calculation with PBE was carried out for an optimized crystal structure of YMnPdAu.

Unit cell a=4.7884 b=4.7884 c=4.7884 alpha=60.00 beta=60.00 gamma=60.00
Last column: magnetic moment on the atom in μB.
Fractional positions:
1 Mn 0.7500 0.7500 0.7500  4.03
2 Au 0.0000 0.0000 0.0000  0.03
3 Pd 0.5000 0.5000 0.5000  0.12
4 Y 0.2500 0.2500 0.2500  -0.03

SG = F-43m, No. 216
energy of formation = -0.473 eV/atom
E = -6.499 eV/atom

=====

A plane-wave DFT calculation with PBE was carried out for an optimized crystal structure of TmPaInPb.

Unit cell a=5.3517 b=5.3517 c=5.3517 alpha=60.00 beta=60.00 gamma=60.00
Last column: magnetic moment on the atom in μB.
Fractional positions:
1 Pb 0.7500 0.7500 0.7500  0.02
2 Tm 0.0000 0.0000 0.0000  0.26
3 In 0.2500 0.2500 0.2500  0.02
4 Pa 0.5000 0.5000 0.5000  1.15

SG = F-43m, No. 216
energy of formation = -0.039 eV/atom
E = -5.142 eV/atom

=====

A plane-wave DFT calculation with PBE was carried out for an optimized crystal structure of SrPm2In.

Unit cell a=5.6967 b=5.6967 c=5.6967 alpha=60.00 beta=60.00 gamma=60.00
Fractional positions:
1 In 0.5000 0.5000 0.5000
2 Pm 0.2500 0.2500 0.2500
3 Pm 0.7500 0.7500 0.7500
4 Sr 0.0000 0.0000 0.0000

SG = Fm-3m, No. 225
energy of formation = -0.073 eV/atom
E = -3.553 eV/atom

=====

A plane-wave DFT calculation with PBE was carried out for an optimized crystal structure of Rh2O3.

Unit cell a=5.2599 b=5.4505 c=7.3769 alpha=90.00 beta=90.00 gamma=90.00
Fractional positions:
1 O 0.3929 0.8882 0.1513
2 Rh 0.7497 0.0303 0.1072
3 Rh 0.2497 0.0303 0.3928
4 O 0.9498 0.7500 0.0000
5 Rh 0.2503 0.5303 0.1072
6 O 0.4498 0.7500 0.5000
7 O 0.6071 0.3882 0.1513
8 Rh 0.7503 0.9697 0.6072
9 Rh 0.7503 0.5303 0.3928
10 O 0.0502 0.2500 0.0000
11 O 0.5502 0.2500 0.5000
12 Rh 0.7497 0.4697 0.8928
13 Rh 0.2497 0.4697 0.6072
14 O 0.6071 0.1118 0.8487
15 Rh 0.2503 0.9697 0.8928
16 O 0.3929 0.6118 0.8487
17 O 0.1071 0.3882 0.3487
18 O 0.8929 0.6118 0.6513
19 O 0.8929 0.8882 0.3487
20 O 0.1071 0.1118 0.6513

SG = Pbcn, No. 60
E = -6.569 eV/atom
formation energy (no corrections) = -3.3 eV/f.u.

=====

A plane-wave DFT calculation with PBE was carried out for an optimized crystal structure of YAlIr2.

Unit cell a=5.2918 b=5.2918 c=5.2918 alpha=136.82 beta=136.57 gamma=62.91
Fractional positions:
1 Ir 0.0004 0.0004 0.0000
2 Al 0.2493 0.7493 0.5000
3 Ir 0.7503 0.2503 0.5000
4 Y 0.5000 0.5000 0.0000

SG = Imm2, No. 44
energy of formation = -0.526 eV/atom
E = -7.508 eV/atom

=====

A plane-wave DFT calculation with PBE was carried out for an optimized crystal structure of AcGa5Pd7.

Unit cell a=5.4114 b=6.9384 c=6.9384 alpha=82.90 beta=67.05 gamma=67.05
Fractional positions:
1 Pd 0.5100 0.7736 0.2063
2 Pd 0.2718 0.2282 0.2282
3 Pd 0.9905 0.6661 0.3529
4 Pd 0.3365 0.6635 0.6635
5 Ga 0.0067 0.4893 0.0067
6 Ga 0.4973 0.0067 0.4893
7 Pd 0.9905 0.3529 0.6661
8 Ga 0.4973 0.4893 0.0067
9 Ga 0.7317 0.7683 0.7683
10 Pd 0.6545 0.3455 0.3455
11 Pd 0.5100 0.2063 0.7736
12 Ga 0.0067 0.0067 0.4893
13 Ac 0.9965 0.0035 0.0035

SG = Imm2, No. 44
energy of formation = -0.613 eV/atom
E = -4.889 eV/atom

=====

A plane-wave DFT calculation with PBE was carried out for an optimized crystal structure of SrLa5Cd6.

Unit cell a=5.5828 b=7.9362 c=8.8250 alpha=90.00 beta=71.56 gamma=90.00
Last column: magnetic moment on the atom in μB.
Fractional positions:
1 Cd 0.1693 0.7491 0.6614  0.00
2 Cd 0.5000 0.7436 0.0000  0.01
3 La 0.0000 0.5000 0.0000  0.10
4 La 0.6651 0.0000 0.6698  0.04
5 La 0.6670 0.5000 0.6659  0.11
6 Cd 0.8307 0.2509 0.3386  0.00
7 Cd 0.8307 0.7491 0.3386  0.00
8 La 0.3349 0.0000 0.3302  0.04
9 Cd 0.1693 0.2509 0.6614  0.00
10 Cd 0.5000 0.2564 0.0000  0.01
11 Sr 0.0000 0.0000 0.0000  0.00
12 La 0.3330 0.5000 0.3341  0.11

SG = Cmmm, No. 65
energy of formation = -0.326 eV/atom
E = -2.977 eV/atom

=====

A plane-wave DFT calculation with PBE was carried out for an optimized crystal structure of Y2Al2NiPt5.

Unit cell a=3.6561 b=9.7115 c=9.7115 alpha=90.00 beta=90.00 gamma=90.00
Fractional positions:
1 Y 0.0000 0.8237 0.6763
2 Al 0.0000 0.8757 0.3757
3 Pt 0.5000 0.7997 0.9374
4 Y 0.0000 0.6763 0.1763
5 Pt 0.5000 0.2003 0.0626
6 Y 0.0000 0.3237 0.8237
7 Pt 0.5000 0.5000 0.0000
8 Al 0.0000 0.6243 0.8757
9 Pt 0.5000 0.0626 0.7997
10 Pt 0.5000 0.7003 0.4374
11 Ni 0.0000 0.0000 0.0000
12 Al 0.0000 0.3757 0.1243
13 Al 0.0000 0.1243 0.6243
14 Ni 0.0000 0.5000 0.5000
15 Pt 0.5000 0.2997 0.5626
16 Pt 0.5000 0.5626 0.7003
17 Y 0.0000 0.1763 0.3237
18 Pt 0.5000 0.4374 0.2997
19 Pt 0.5000 0.9374 0.2003
20 Pt 0.5000 0.0000 0.5000

SG = P4/mbm, No. 127
energy of formation = -0.875 eV/atom
E = -6.515 eV/atom